[1]
CaHfS2 | PBE-GGA | optimized geometry

CIF file:
```
data_CaHfS2
_chemical_formula_sum 'Ca4 Hf4 S8'
_space_group_name_H-M_alt 'I -4 2 d'
_space_group_IT_number 122
_space_group_name_Hall 'I -4 2bw'
_cell_length_a 6.0417
_cell_length_b 6.0417
_cell_length_c 11.5849
_cell_angle_alpha 90.00
_cell_angle_beta 90.00
_cell_angle_gamma 90.00
loop_
_atom_site_label
_atom_site_type_symbol
_atom_site_fract_x
_atom_site_fract_y
_atom_site_fract_z
_atom_site_occupancy
Ca1 Ca 0.0000 0.0000 0.0000 1
Hf1 Hf 0.0000 0.0000 0.5000 1
S1 S 0.2165 0.2500 0.6250 1
```

Summary:
**M_tot**: 0.000 μB per atom
**Calculated total energy**: -0.2313 Ha/atom
**Energy above the most stable polymorph in this dataset**: 0.042 eV per atom
**E_form (uncorrected)**: -1241.4 meV/atom
**N(E_F)**: 2.40 states/eV/f.u.

***

[2]
CaHfS2 | PBE-GGA | optimized geometry

CIF file:
```
data_CaHfS2
_chemical_formula_sum 'Ca3 Hf3 S6'
_space_group_name_H-M_alt 'R -3 m'
_space_group_IT_number 166
_space_group_name_Hall '-R 3 2"'
_cell_length_a 3.6727
_cell_length_b 3.6727
_cell_length_c 25.6127
_cell_angle_alpha 90.00
_cell_angle_beta 90.00
_cell_angle_gamma 120.00
loop_
_atom_site_label
_atom_site_type_symbol
_atom_site_fract_x
_atom_site_fract_y
_atom_site_fract_z
_atom_site_occupancy
Ca1 Ca 0.0000 0.0000 0.0000 1
Hf1 Hf 0.0000 0.0000 0.5000 1
S1 S 0.0000 0.0000 0.1090 1
```

Summary:
**M_tot**: 0.052 μB per atom
**Calculated total energy**: -0.2328 Ha/atom
**Energy above the most stable polymorph in this dataset**: 0.000 eV per atom
**E_form (uncorrected)**: -1283.4 meV/atom
**N(E_F)**: 2.74 states/eV/f.u.

***

[3]
Ca2HfS | PBE-GGA | optimized geometry

CIF file:
```
data_Ca2HfS
_chemical_formula_sum 'Ca8 Hf4 S4'
_space_group_name_H-M_alt 'I -4 2 d'
_space_group_IT_number 122
_space_group_name_Hall 'I -4 2bw'
_cell_length_a 9.7885
_cell_length_b 9.7885
_cell_length_c 4.9373
_cell_angle_alpha 90.00
_cell_angle_beta 90.00
_cell_angle_gamma 90.00
loop_
_atom_site_label
_atom_site_type_symbol
_atom_site_fract_x
_atom_site_fract_y
_atom_site_fract_z
_atom_site_occupancy
Ca1 Ca 0.1238 0.2500 0.1250 1
Hf1 Hf 0.0000 0.0000 0.5000 1
S1 S 0.0000 0.0000 0.0000 1
```

Summary:
**M_tot**: 0.168 μB per atom
**Calculated total energy**: -0.1762 Ha/atom
**E_form (uncorrected)**: -272.6 meV/atom
**N(E_F)**: 5.34 states/eV/f.u.